Density functional theory data (PBE) for CsIn6Hg2 after structural relaxation.

Lattice parameters (Å, degrees): 5.134 5.134 10.702 90.00 90.00 90.00
Atoms (fractional coordinates):
Cs 0.000 0.000 0.000
In 0.000 0.000 0.500
In 0.000 0.500 0.312
In 0.000 0.500 0.688
In 0.500 0.000 0.312
In 0.500 0.000 0.688
In 0.500 0.500 0.500
Hg 0.500 0.500 0.143
Hg 0.500 0.500 0.857

Computed properties:
space-group type = No. 123
formation energy = -0.082 eV per atom
total moment = 0.00 μB/f.u.